{"formula": "Tb4Pm2Cd", "functional": "GGA-PBE", "state": "relaxed", "formation_energy_ev_per_atom": 0.0030, "n_ef_per_ev_cell": 10.1, "m_tot_mub_per_cell": 0.00, "lattice": [[8.534, -1.800, 0.000], [8.534, 1.800, 0.000], [-3.821, 0.000, 7.319]], "species": ["Tb", "Tb", "Tb", "Tb", "Pm", "Pm", "Cd"], "fractional_positions": [[0.059, 0.059, 0.236], [0.357, 0.357, 0.032], [0.643, 0.643, 0.968], [0.941, 0.941, 0.764], [0.287, 0.287, 0.371], [0.713, 0.713, 0.629], [0.500, 0.500, 0.500]]}